A relaxed Cr2Pt crystal, computed with PBE-GGA.

For the formation energy, the calculation gives 52.5 kJ/mol of formula units. As for the spin magnetization: 0.0 μB/cell. Its uncorrected energy is -99.0 eV for the cell shown. The density of states at the Fermi level is 15.04 states/eV/cell.

The space group is I4_1/amd (No. 141, origin choice 2) and the conventional cell measures 2.689, 2.689 and 22.568 Å, with angles of 90.00, 90.00 and 90.00 degrees. The distinct sites, in fractional coordinates, are Cr at (0.000, 0.250, 0.290) and Pt at (0.000, 0.250, 0.875).